Record 1
# TaAg2As (PBE-GGA, optimized geometry)
# calculated formation energy	2.3	kcal/mol of atoms
data_TaAg2As
_space_group_name_H-M_alt 'C m m 2'
_space_group_IT_number 35
_space_group_name_Hall 'C 2 -2'
_cell_length_a 3.4451
_cell_length_b 4.6353
_cell_length_c 9.2966
_cell_angle_alpha 90.00
_cell_angle_beta 90.00
_cell_angle_gamma 90.00
loop_
_atom_site_label
_atom_site_type_symbol
_atom_site_fract_x
_atom_site_fract_y
_atom_site_fract_z
_atom_site_occupancy
Ta1 Ta 0.0000 0.0000 0.0000 1
Ag1 Ag 0.0000 0.0000 0.4909 1
Ag2 Ag 0.0000 0.5000 0.2467 1
As1 As 0.0000 0.5000 0.7801 1



Record 2
# K3Np2CoS6 (PBE-GGA, optimized geometry)
# uncorrected formation energy	-1105	meV per atom
data_K3Np2CoS6
_space_group_name_H-M_alt 'C 1 2/m 1'
_space_group_IT_number 12
_space_group_name_Hall '-C 2y'
_cell_length_a 6.7900
_cell_length_b 11.7606
_cell_length_c 7.6850
_cell_angle_alpha 90.00
_cell_angle_beta 107.12
_cell_angle_gamma 90.00
loop_
_atom_site_label
_atom_site_type_symbol
_atom_site_fract_x
_atom_site_fract_y
_atom_site_fract_z
_atom_site_occupancy
K1 K 0.0000 0.0000 0.0000 1
K2 K 0.0000 0.3340 0.0000 1
Np1 Np 0.0000 0.1667 0.5000 1
Co1 Co 0.0000 0.5000 0.5000 1
S1 S 0.2265 0.3383 0.6945 1
S2 S 0.2413 0.0000 0.6942 1



Record 3
# LiCa3Hf (PBE-GGA, optimized geometry)
# calculated formation energy	17.7	kcal/mol of atoms
data_LiCa3Hf
_space_group_name_H-M_alt 'P m -3 m'
_space_group_IT_number 221
_space_group_name_Hall '-P 4 2 3'
_cell_length_a 5.5419
_cell_length_b 5.5419
_cell_length_c 5.5419
_cell_angle_alpha 90.00
_cell_angle_beta 90.00
_cell_angle_gamma 90.00
loop_
_atom_site_label
_atom_site_type_symbol
_atom_site_fract_x
_atom_site_fract_y
_atom_site_fract_z
_atom_site_occupancy
Li1 Li 0.0000 0.0000 0.0000 1
Ca1 Ca 0.0000 0.0000 0.5000 1
Hf1 Hf 0.5000 0.5000 0.5000 1



Record 4
# Zn2Cu6Rh (PBE-GGA, optimized geometry)
# calculated formation energy	-1.0	kcal/mol of atoms
data_Zn2Cu6Rh
_space_group_name_H-M_alt 'C 1 2/m 1'
_space_group_IT_number 12
_space_group_name_Hall '-C 2y'
_cell_length_a 10.9961
_cell_length_b 7.8729
_cell_length_c 2.7249
_cell_angle_alpha 90.00
_cell_angle_beta 104.19
_cell_angle_gamma 90.00
loop_
_atom_site_label
_atom_site_type_symbol
_atom_site_fract_x
_atom_site_fract_y
_atom_site_fract_z
_atom_site_occupancy
Zn1 Zn 0.1672 0.0000 0.1673 1
Cu1 Cu 0.0000 0.1661 0.5000 1
Cu2 Cu 0.1675 0.3307 0.1672 1
Rh1 Rh 0.0000 0.5000 0.5000 1



Record 5
# NpTiRh2 (PBE-GGA, optimized geometry)
# calculated formation energy	-11.0	kcal/mol of atoms
data_NpTiRh2
_space_group_name_H-M_alt 'P 4/m m m'
_space_group_IT_number 123
_space_group_name_Hall '-P 4 2'
_cell_length_a 3.0269
_cell_length_b 3.0269
_cell_length_c 7.4484
_cell_angle_alpha 90.00
_cell_angle_beta 90.00
_cell_angle_gamma 90.00
loop_
_atom_site_label
_atom_site_type_symbol
_atom_site_fract_x
_atom_site_fract_y
_atom_site_fract_z
_atom_site_occupancy
Np1 Np 0.0000 0.0000 0.0000 1
Ti1 Ti 0.0000 0.0000 0.5000 1
Rh1 Rh 0.5000 0.5000 0.2938 1



Record 6
# CoRe2Pd2 (PBE-GGA, optimized geometry)
# calculated formation energy	16.8	kcal/mol of atoms
data_CoRe2Pd2
_space_group_name_H-M_alt 'I 4/m m m'
_space_group_IT_number 139
_space_group_name_Hall '-I 4 2'
_cell_length_a 3.5337
_cell_length_b 3.5337
_cell_length_c 13.2483
_cell_angle_alpha 90.00
_cell_angle_beta 90.00
_cell_angle_gamma 90.00
loop_
_atom_site_label
_atom_site_type_symbol
_atom_site_fract_x
_atom_site_fract_y
_atom_site_fract_z
_atom_site_occupancy
Co1 Co 0.0000 0.0000 0.0000 1
Re1 Re 0.0000 0.5000 0.2500 1
Pd1 Pd 0.0000 0.0000 0.4040 1



Record 7
# Cs6InS4 (PBE-GGA, optimized geometry)
# uncorrected formation energy	-965	meV per atom
data_Cs6InS4
_space_group_name_H-M_alt 'P 63 m c'
_space_group_IT_number 186
_space_group_name_Hall 'P 6c -2c'
_cell_length_a 11.1764
_cell_length_b 11.1764
_cell_length_c 8.4530
_cell_angle_alpha 90.00
_cell_angle_beta 90.00
_cell_angle_gamma 120.00
loop_
_atom_site_label
_atom_site_type_symbol
_atom_site_fract_x
_atom_site_fract_y
_atom_site_fract_z
_atom_site_occupancy
Cs1 Cs 0.0640 0.5320 0.0000 1
Cs2 Cs 0.1386 0.2772 0.6821 1
In1 In 0.3333 0.6667 0.3942 1
S1 S 0.2082 0.4164 0.2974 1
S2 S 0.3333 0.6667 0.6976 1



Record 8
# MgGaTcRu (PBE-GGA, optimized geometry)
# calculated formation energy	-0.4	kcal/mol of atoms
data_MgGaTcRu
_space_group_name_H-M_alt 'F -4 3 m'
_space_group_IT_number 216
_space_group_name_Hall 'F -4 2 3'
_cell_length_a 6.2004
_cell_length_b 6.2004
_cell_length_c 6.2004
_cell_angle_alpha 90.00
_cell_angle_beta 90.00
_cell_angle_gamma 90.00
loop_
_atom_site_label
_atom_site_type_symbol
_atom_site_fract_x
_atom_site_fract_y
_atom_site_fract_z
_atom_site_occupancy
Mg1 Mg 0.0000 0.0000 0.0000 1
Ga1 Ga 0.2500 0.2500 0.2500 1
Tc1 Tc 0.0000 0.0000 0.5000 1
Ru1 Ru 0.2500 0.2500 0.7500 1



Record 9
# CdIrPt2 (PBE-GGA, optimized geometry)
# calculated formation energy	-0.3	kcal/mol of atoms
data_CdIrPt2
_space_group_name_H-M_alt 'P 1 2/m 1'
_space_group_IT_number 10
_space_group_name_Hall '-P 2y'
_cell_length_a 2.8074
_cell_length_b 4.0085
_cell_length_c 5.7941
_cell_angle_alpha 90.00
_cell_angle_beta 90.08
_cell_angle_gamma 90.00
loop_
_atom_site_label
_atom_site_type_symbol
_atom_site_fract_x
_atom_site_fract_y
_atom_site_fract_z
_atom_site_occupancy
Cd1 Cd 0.0000 0.0000 0.0000 1
Ir1 Ir 0.0000 0.0000 0.5000 1
Pt1 Pt 0.5001 0.5000 0.2667 1



Record 10
# SrSiSb (PBE-GGA, optimized geometry)
# uncorrected formation energy	-466	meV per atom
data_SrSiSb
_space_group_name_H-M_alt 'C 1 2/m 1'
_space_group_IT_number 12
_space_group_name_Hall '-C 2y'
_cell_length_a 12.3425
_cell_length_b 4.1359
_cell_length_c 7.4220
_cell_angle_alpha 90.00
_cell_angle_beta 104.64
_cell_angle_gamma 90.00
loop_
_atom_site_label
_atom_site_type_symbol
_atom_site_fract_x
_atom_site_fract_y
_atom_site_fract_z
_atom_site_occupancy
Sr1 Sr 0.1353 0.0000 0.2760 1
Si1 Si 0.0977 0.5000 0.5722 1
Sb1 Sb 0.1490 0.0000 0.8100 1



Record 11
# Ga2Au2Se (PBE-GGA, optimized geometry)
# uncorrected formation energy	-48	meV per atom
data_Ga2Au2Se
_space_group_name_H-M_alt 'P 4/m b m'
_space_group_IT_number 127
_space_group_name_Hall '-P 4 2ab'
_cell_length_a 7.3143
_cell_length_b 7.3143
_cell_length_c 3.7341
_cell_angle_alpha 90.00
_cell_angle_beta 90.00
_cell_angle_gamma 90.00
loop_
_atom_site_label
_atom_site_type_symbol
_atom_site_fract_x
_atom_site_fract_y
_atom_site_fract_z
_atom_site_occupancy
Ga1 Ga 0.1661 0.3339 0.0000 1
Au1 Au 0.1374 0.6374 0.5000 1
Se1 Se 0.0000 0.0000 0.5000 1



Record 12
# Tm2GePb (PBE-GGA, optimized geometry)
# calculated formation energy	-10.0	kcal/mol of atoms
data_Tm2GePb
_space_group_name_H-M_alt 'P 4/m m m'
_space_group_IT_number 123
_space_group_name_Hall '-P 4 2'
_cell_length_a 4.8785
_cell_length_b 4.8785
_cell_length_c 4.1706
_cell_angle_alpha 90.00
_cell_angle_beta 90.00
_cell_angle_gamma 90.00
loop_
_atom_site_label
_atom_site_type_symbol
_atom_site_fract_x
_atom_site_fract_y
_atom_site_fract_z
_atom_site_occupancy
Tm1 Tm 0.0000 0.5000 0.0000 1
Ge1 Ge 0.0000 0.0000 0.5000 1
Pb1 Pb 0.5000 0.5000 0.5000 1